A relaxed CePr3Th2S6 crystal, computed with PBE.

Unit cell a=7.026 b=7.026 c=7.078 alpha=99.52 beta=99.52 gamma=119.90
Site moments in Bohr magnetons follow the coordinates.
Sites, in units of the cell vectors:
Ce 0.000 0.000 0.000  0.55
Pr 0.167 0.833 0.500  0.00
Pr 0.833 0.167 0.500  0.00
Pr 0.500 0.500 0.500  0.00
Th 0.334 0.666 0.000  0.02
Th 0.666 0.334 0.000  0.02
S 0.918 0.586 0.755  0.00
S 0.749 0.749 0.246  0.00
S 0.082 0.414 0.245  0.00
S 0.586 0.918 0.755  0.00
S 0.251 0.251 0.754  0.00
S 0.414 0.082 0.245  0.00

Summary:
D(E_F) = 0.88 states/eV per atom
raw formation energy = -1.9581 eV per atom